(1)
## Er5GeS4 (PBE-GGA)

Data for an optimized crystal structure of Er5GeS4.

Results
**Formation energy without anion corrections**: -1787 meV/atom
**Density of states at the Fermi level**: 4.22 states/eV/cell
**Energy**: -6.1813 eV/atom

```
10
Lattice="-2.785 -0.889 4.701 -0.729 -6.572 1.585 3.934 -0.266 5.539" Properties=species:S:1:pos:R:3 pbc="T T T"
Er 0.349 -3.644 9.302
Er 0.938 -5.687 6.006
Er -0.522 -2.041 5.830
Er 0.066 -4.084 2.533
Er -1.396 -0.446 2.356
Ge -0.004 -0.001 0.006
S 1.734 -3.212 6.945
S -0.465 -6.121 8.351
S 0.881 -1.607 3.484
S -1.318 -4.517 4.890
```



(2)
## CdAgAs2 (PBE-GGA)

Data for an optimized crystal structure of CdAgAs2.

Results
**Calculated formation energy**: 0.5 eV/f.u.
**Density of states at the Fermi level**: 1.88 states/eV/cell
**Energy**: -3.1306 eV/atom

```
8
Lattice="-1.127 -1.611 -3.615 -0.757 -3.602 1.841 -10.576 0.293 0.824" Properties=species:S:1:pos:R:3 pbc="T T T"
As -3.380 -1.294 -1.623
As -3.321 -2.469 0.704
As -8.680 -1.935 0.055
As -9.538 -4.141 -1.037
Ag -0.942 -2.606 -0.887
Ag -6.137 -2.957 0.889
Cd 0.000 0.000 0.000
Cd -6.322 -1.962 -1.839
```



(3)
## Er2Ga2Os2C (PBE-GGA)

Data for an optimized crystal structure of Er2Ga2Os2C.

Results
**Calculated formation energy**: -3.4 eV/f.u.
**Density of states at the Fermi level**: 2.89 states/eV/cell
**Energy**: -7.1769 eV/atom

```
7
Lattice="-2.694 -2.282 -1.843 2.546 -4.781 -2.105 -1.435 -4.719 3.637" Properties=species:S:1:pos:R:3 pbc="T T T"
Er -2.143 -5.401 1.212
Er 0.559 -6.381 -1.523
Ga 0.133 -3.720 0.108
Ga -1.717 -8.062 -0.419
Os -0.107 -8.052 1.518
Os -1.477 -3.730 -1.829
C 0.000 0.000 0.000
```



(4)
## BaMgInAg3 (PBE-GGA)

Data for an optimized crystal structure of BaMgInAg3.

Results
**Calculated formation energy**: -0.7 eV/f.u.
**Density of states at the Fermi level**: 5.69 states/eV/cell
**Energy**: -2.5837 eV/atom

```
12
Lattice="-6.254 -2.954 -0.589 2.571 -4.644 -4.007 0.062 -1.612 7.427" Properties=species:S:1:pos:R:3 pbc="T T T"
Ba -3.889 -4.556 2.785
Ba 0.268 -4.653 0.046
Mg 0.928 -6.582 2.705
Mg -4.549 -2.628 0.126
In -0.586 -3.593 3.788
In -3.035 -5.617 -0.958
Ag -1.161 -1.913 1.472
Ag 0.740 -1.337 -1.154
Ag -1.296 -4.783 -3.148
Ag -2.387 -2.814 -1.449
Ag 1.831 -3.306 -2.853
Ag -2.460 -7.297 1.359
```



(5)
## SmDyB4 (PBE-GGA)

Data for an optimized crystal structure of SmDyB4.

Results
**Calculated formation energy**: -1.8 eV/f.u.
**Density of states at the Fermi level**: 2.86 states/eV/cell
**Energy**: -6.3080 eV/atom

```
6
Lattice="3.479 0.000 -1.074 -0.332 3.463 -1.074 0.059 0.065 6.360" Properties=species:S:1:pos:R:3 pbc="T T T"
Sm 0.000 0.000 0.000
Dy 0.650 2.629 2.106
B 2.307 0.625 1.302
B 1.829 2.012 -0.247
B 2.803 1.171 2.909
B 1.377 1.515 4.458
```



(6)
## CsNaSb (PBE-GGA)

Data for an optimized crystal structure of CsNaSb.

Results
**Formation energy without anion corrections**: -390 meV/atom
**Density of states at the Fermi level**: 3.01 states/eV/cell
**Energy**: -2.4886 eV/atom
**Energy above the lowest structure with this stoichiometry**: 0.00 eV per formula unit

```
12
Lattice="-0.086 0.029 -7.875 -2.413 -7.495 -0.001 -7.902 2.543 4.050" Properties=species:S:1:pos:R:3 pbc="T T T"
Cs -9.281 -5.279 -1.881
Cs -2.366 -3.368 -5.883
Cs -1.120 0.356 -1.945
Cs -8.034 -1.555 2.057
Sb -2.571 0.827 -5.863
Sb -6.667 -1.991 -1.899
Sb -7.829 -5.750 2.038
Sb -3.733 -2.932 -1.927
Na -5.821 -4.333 -3.879
Na -4.624 -0.582 -3.884
Na -4.580 -0.590 0.053
Na -5.776 -4.341 0.058
```



(7)
## PrScCdBi (PBE-GGA)

Data for an optimized crystal structure of PrScCdBi.

Results
**Calculated formation energy**: -1.5 eV/f.u.
**Density of states at the Fermi level**: 4.18 states/eV/cell
**Energy**: -4.3467 eV/atom

```
4
Lattice="5.369 0.000 0.000 2.684 4.650 0.000 2.684 1.550 4.384" Properties=species:S:1:pos:R:3 pbc="T T T"
Pr 0.000 0.000 0.000
Sc 5.369 3.100 2.192
Bi 8.053 4.650 3.288
Cd 2.684 1.550 1.096
```



(8)
## Ho4ThCd (PBE-GGA)

Data for an optimized crystal structure of Ho4ThCd.

Results
**Calculated formation energy**: 0.2 eV/f.u.
**Density of states at the Fermi level**: 15.37 states/eV/cell
**Energy**: -4.4133 eV/atom
**Energy above the lowest structure with this stoichiometry**: 0.66 eV per formula unit

```
12
Lattice="0.421 5.975 1.684 -7.708 -3.377 2.479 6.486 -3.243 4.107" Properties=species:S:1:pos:R:3 pbc="T T T"
Ho 3.728 -2.925 3.756
Ho -1.101 0.153 5.590
Ho 0.541 -3.127 5.156
Ho -2.864 -2.958 5.423
Ho 2.063 2.314 2.847
Ho -1.343 2.482 3.113
Ho 0.299 -0.797 2.680
Ho -4.530 2.280 4.513
Th -3.157 -0.599 2.949
Th 2.356 -0.045 5.321
Cd 0.106 1.493 0.423
Cd -0.908 -2.138 7.846
```